(1)
## CePrCl2 (GGA-PBE)

Data for crystalline CePrCl2 at its relaxed geometry.

Unit cell a=3.614 b=3.614 c=29.742 alpha=90.00 beta=90.00 gamma=120.00
Fractional coordinates of all 12 atoms:
Ce: 0.000 0.000 0.000
Ce: 0.333 0.667 0.667
Ce: 0.667 0.333 0.333
Pr: 0.000 0.000 0.500
Pr: 0.333 0.667 0.167
Pr: 0.667 0.333 0.833
Cl: 0.000 0.000 0.097
Cl: 0.000 0.000 0.903
Cl: 0.333 0.667 0.570
Cl: 0.333 0.667 0.764
Cl: 0.667 0.333 0.236
Cl: 0.667 0.333 0.430

Results
The total DFT energy (no corrections) is -4.899 eV per atom. As for the calculated volume: 28.04 Å³/atom. As for the crystal system: trigonal. The magnetic moment is 5.365 μB/cell. The calculation puts the uncorrected formation energy at -1.2970 eV per atom.

---

(2)
## Ce3PrCl (GGA-PBE)

Data for crystalline Ce3PrCl at its relaxed geometry.

Unit cell a=5.378 b=5.378 c=5.378 alpha=90.00 beta=90.00 gamma=90.00
Fractional coordinates of all 5 atoms:
Ce: 0.000 0.000 0.500
Ce: 0.000 0.500 0.000
Ce: 0.500 0.000 0.000
Pr: 0.500 0.500 0.500
Cl: 0.000 0.000 0.000

Results
The total DFT energy (no corrections) is -5.257 eV per atom. As for the calculated volume: 31.12 Å³/atom. As for the crystal system: cubic. The magnetic moment is 1.913 μB/cell. The calculation puts the uncorrected formation energy at -0.3710 eV per atom.

---

(3)
## CePrRhCl (GGA-PBE)

Data for crystalline CePrRhCl at its relaxed geometry.

Unit cell a=4.015 b=4.015 c=23.310 alpha=90.00 beta=90.00 gamma=120.00
Fractional coordinates of all 12 atoms:
Ce: 0.000 0.000 0.000
Ce: 0.333 0.667 0.667
Ce: 0.667 0.333 0.333
Pr: 0.000 0.000 0.196
Pr: 0.333 0.667 0.862
Pr: 0.667 0.333 0.529
Rh: 0.000 0.000 0.604
Rh: 0.333 0.667 0.270
Rh: 0.667 0.333 0.937
Cl: 0.000 0.000 0.431
Cl: 0.333 0.667 0.098
Cl: 0.667 0.333 0.765

Results
The total DFT energy (no corrections) is -6.080 eV per atom. As for the calculated volume: 27.12 Å³/atom. As for the crystal system: trigonal. The magnetic moment is 2.862 μB/cell. The calculation puts the uncorrected formation energy at -1.1022 eV per atom.

---

(4)
## CePrSe2Cl (GGA-PBE)

Data for crystalline CePrSe2Cl at its relaxed geometry.

Unit cell a=4.260 b=4.260 c=14.201 alpha=90.00 beta=90.00 gamma=90.00
Fractional coordinates of all 10 atoms:
Ce: 0.250 0.250 0.094
Ce: 0.750 0.750 0.906
Pr: 0.250 0.250 0.646
Pr: 0.750 0.750 0.354
Se: 0.250 0.250 0.301
Se: 0.250 0.250 0.880
Se: 0.750 0.750 0.120
Se: 0.750 0.750 0.699
Cl: 0.250 0.750 0.500
Cl: 0.750 0.250 0.500

Results
The total DFT energy (no corrections) is -5.796 eV per atom. As for the calculated volume: 25.77 Å³/atom. As for the crystal system: tetragonal. The magnetic moment is 2.334 μB/cell. The calculation puts the uncorrected formation energy at -1.8904 eV per atom.

---

(5)
## Ce4Pr2Sn3Cl2 (GGA-PBE)

Data for crystalline Ce4Pr2Sn3Cl2 at its relaxed geometry.

Unit cell a=12.778 b=12.778 c=12.778 alpha=156.17 beta=156.17 gamma=33.95
Fractional coordinates of all 11 atoms:
Ce: 0.085 0.585 0.500
Ce: 0.415 0.915 0.500
Ce: 0.585 0.085 0.500
Ce: 0.915 0.415 0.500
Pr: 0.199 0.199 0.000
Pr: 0.801 0.801 0.000
Sn: 0.330 0.330 0.000
Sn: 0.500 0.500 0.000
Sn: 0.670 0.670 0.000
Cl: 0.076 0.076 0.000
Cl: 0.924 0.924 0.000

Results
The total DFT energy (no corrections) is -5.212 eV per atom. As for the calculated volume: 30.93 Å³/atom. As for the crystal system: tetragonal. The magnetic moment is 2.758 μB/cell. The calculation puts the uncorrected formation energy at -0.7574 eV per atom.

---

(6)
## Ce2Pr4Sn3Cl2 (GGA-PBE)

Data for crystalline Ce2Pr4Sn3Cl2 at its relaxed geometry.

Unit cell a=12.806 b=12.806 c=12.806 alpha=155.76 beta=155.76 gamma=34.54
Fractional coordinates of all 11 atoms:
Ce: 0.198 0.198 0.000
Ce: 0.802 0.802 0.000
Pr: 0.087 0.587 0.500
Pr: 0.413 0.913 0.500
Pr: 0.587 0.087 0.500
Pr: 0.913 0.413 0.500
Sn: 0.329 0.329 0.000
Sn: 0.500 0.500 0.000
Sn: 0.671 0.671 0.000
Cl: 0.070 0.070 0.000
Cl: 0.930 0.930 0.000

Results
The total DFT energy (no corrections) is -4.991 eV per atom. As for the calculated volume: 32.14 Å³/atom. As for the crystal system: tetragonal. The magnetic moment is 3.843 μB/cell. The calculation puts the uncorrected formation energy at -0.7462 eV per atom.

---

(7)
## CePrTe2Cl (GGA-PBE)

Data for crystalline CePrTe2Cl at its relaxed geometry.

Unit cell a=4.468 b=4.468 c=15.238 alpha=90.00 beta=90.00 gamma=90.00
Fractional coordinates of all 10 atoms:
Ce: 0.250 0.250 0.132
Ce: 0.750 0.750 0.868
Pr: 0.250 0.250 0.589
Pr: 0.750 0.750 0.411
Te: 0.250 0.250 0.375
Te: 0.250 0.250 0.802
Te: 0.750 0.750 0.198
Te: 0.750 0.750 0.625
Cl: 0.250 0.750 0.000
Cl: 0.750 0.250 0.000

Results
The total DFT energy (no corrections) is -5.388 eV per atom. As for the calculated volume: 30.43 Å³/atom. As for the crystal system: tetragonal. The magnetic moment is 2.318 μB/cell. The calculation puts the uncorrected formation energy at -1.6198 eV per atom.

---

(8)
## Ce2PtCl2 (GGA-PBE)

Data for crystalline Ce2PtCl2 at its relaxed geometry.

Unit cell a=4.124 b=4.124 c=30.376 alpha=90.00 beta=90.00 gamma=120.00
Fractional coordinates of all 15 atoms:
Ce: 0.000 0.000 0.112
Ce: 0.000 0.000 0.888
Ce: 0.333 0.667 0.555
Ce: 0.333 0.667 0.779
Ce: 0.667 0.333 0.221
Ce: 0.667 0.333 0.445
Pt: 0.000 0.000 0.500
Pt: 0.333 0.667 0.167
Pt: 0.667 0.333 0.833
Cl: 0.000 0.000 0.278
Cl: 0.000 0.000 0.722
Cl: 0.333 0.667 0.389
Cl: 0.333 0.667 0.945
Cl: 0.667 0.333 0.055
Cl: 0.667 0.333 0.611

Results
The total DFT energy (no corrections) is -5.910 eV per atom. As for the calculated volume: 29.82 Å³/atom. As for the crystal system: trigonal. The magnetic moment is 6.123 μB/cell. The calculation puts the uncorrected formation energy at -1.5892 eV per atom.

---

(9)
## Ce4Pt2Cl3 (GGA-PBE)

Data for crystalline Ce4Pt2Cl3 at its relaxed geometry.

Unit cell a=4.136 b=4.136 c=17.214 alpha=90.04 beta=90.04 gamma=60.00
Fractional coordinates of all 9 atoms:
Ce: 0.001 0.001 0.305
Ce: 0.334 0.334 0.115
Ce: 0.666 0.666 0.885
Ce: 0.999 0.999 0.695
Pt: 0.333 0.333 0.792
Pt: 0.667 0.667 0.208
Cl: 0.000 0.000 0.000
Cl: 0.334 0.334 0.404
Cl: 0.666 0.666 0.596

Results
The total DFT energy (no corrections) is -6.029 eV per atom. As for the calculated volume: 28.34 Å³/atom. As for the crystal system: monoclinic. The magnetic moment is 4.449 μB/cell. The calculation puts the uncorrected formation energy at -1.4342 eV per atom.

---

(10)
## Ce6PtCl8 (GGA-PBE)

Data for crystalline Ce6PtCl8 at its relaxed geometry.

Unit cell a=10.751 b=10.751 c=10.751 alpha=38.18 beta=38.18 gamma=38.18
Fractional coordinates of all 15 atoms:
Ce: 0.054 0.393 0.717
Ce: 0.283 0.946 0.607
Ce: 0.393 0.717 0.054
Ce: 0.607 0.283 0.946
Ce: 0.717 0.054 0.393
Ce: 0.946 0.607 0.283
Pt: 0.000 0.000 0.000
Cl: 0.111 0.785 0.436
Cl: 0.215 0.564 0.889
Cl: 0.333 0.333 0.333
Cl: 0.436 0.111 0.785
Cl: 0.564 0.889 0.215
Cl: 0.667 0.667 0.667
Cl: 0.785 0.436 0.111
Cl: 0.889 0.215 0.564

Results
The total DFT energy (no corrections) is -5.454 eV per atom. As for the calculated volume: 28.42 Å³/atom. As for the crystal system: trigonal. The magnetic moment is 6.719 μB/cell. The calculation puts the uncorrected formation energy at -1.6927 eV per atom.

---

(11)
## CePtCl (GGA-PBE)

Data for crystalline CePtCl at its relaxed geometry.

Unit cell a=10.829 b=10.829 c=10.829 alpha=22.66 beta=22.66 gamma=22.66
Fractional coordinates of all 6 atoms:
Ce: 0.065 0.065 0.065
Ce: 0.935 0.935 0.935
Pt: 0.352 0.352 0.352
Pt: 0.648 0.648 0.648
Cl: 0.216 0.216 0.216
Cl: 0.784 0.784 0.784

Results
The total DFT energy (no corrections) is -6.102 eV per atom. As for the calculated volume: 27.56 Å³/atom. As for the crystal system: trigonal. The magnetic moment is 2.048 μB/cell. The calculation puts the uncorrected formation energy at -1.4953 eV per atom.

---

(12)
## Ce7PtCl12 (GGA-PBE)

Data for crystalline Ce7PtCl12 at its relaxed geometry.

Unit cell a=9.257 b=9.257 c=9.257 alpha=108.88 beta=108.88 gamma=108.88
Fractional coordinates of all 20 atoms:
Ce: 0.000 0.000 0.000
Ce: 0.155 0.456 0.362
Ce: 0.362 0.155 0.456
Ce: 0.456 0.362 0.155
Ce: 0.544 0.638 0.845
Ce: 0.638 0.845 0.544
Ce: 0.845 0.544 0.638
Pt: 0.500 0.500 0.500
Cl: 0.017 0.115 0.336
Cl: 0.115 0.336 0.017
Cl: 0.193 0.580 0.708
Cl: 0.292 0.807 0.420
Cl: 0.336 0.017 0.115
Cl: 0.420 0.292 0.807
Cl: 0.580 0.708 0.193
Cl: 0.664 0.983 0.885
Cl: 0.708 0.193 0.580
Cl: 0.807 0.420 0.292
Cl: 0.885 0.664 0.983
Cl: 0.983 0.885 0.664

Results
The total DFT energy (no corrections) is -5.359 eV per atom. As for the calculated volume: 31.19 Å³/atom. As for the crystal system: trigonal. The magnetic moment is 8.549 μB/cell. The calculation puts the uncorrected formation energy at -1.8716 eV per atom.